Entry a
VASP calculation (PBE) on a geometry-optimized RbCaF2 structure.

POSCAR file:
```
RbCaF2
1.0
2.248 0.000 7.704
-1.124 1.947 7.704
-1.124 -1.947 7.704
Ca Rb F
1 1 2
direct
0.500 0.500 0.500 Ca
0.000 0.000 0.000 Rb
0.871 0.871 0.871 F
0.129 0.129 0.129 F
```

spin magnetization = 0.00 μB per atom

---

Entry b
VASP calculation (PBE) on a geometry-optimized RbCaF2 structure.

POSCAR file:
```
RbCaF2
1.0
0.000 3.430 3.430
3.430 0.000 3.430
3.430 3.430 0.000
Ca Rb F
1 1 2
direct
0.000 0.000 0.000 Ca
0.500 0.500 0.500 Rb
0.250 0.250 0.250 F
0.750 0.750 0.750 F
```

spin magnetization = 0.06 μB per atom

---

We find entry a to be the most stable, with the next structure 63.9 kJ/mol of atoms higher.

---

Entry a
VASP calculation (PBE) on a geometry-optimized RbCa3F structure.

POSCAR file:
```
RbCa3F
1.0
-5.430 -0.019 1.724
-0.943 -4.735 -3.024
1.444 -3.168 4.510
Ca Rb F
3 1 1
direct
0.000 0.500 0.000 Ca
0.000 0.000 0.500 Ca
0.500 0.000 0.000 Ca
0.500 0.500 0.500 Rb
0.000 0.000 0.000 F
```

spin magnetization = 0.00 μB per atom

---

Entry b
VASP calculation (PBE) on a geometry-optimized RbCa3F structure.

POSCAR file:
```
RbCa3F
1.0
7.339 0.000 0.000
0.000 7.339 0.000
0.000 0.000 7.339
Ca Rb F
3 1 1
direct
0.000 0.500 0.000 Ca
0.000 0.000 0.500 Ca
0.500 0.000 0.000 Ca
0.000 0.000 0.000 Rb
0.500 0.500 0.500 F
```

spin magnetization = 0.00 μB per atom

---

We find entry a to be the most stable, with the next structure 125.5 kJ/mol of atoms higher.

---

Entry a
VASP calculation (PBE) on a geometry-optimized Rb2CaF2 structure.

POSCAR file:
```
Rb2CaF2
1.0
-6.950 -2.615 -0.142
2.442 -6.617 2.325
-0.692 1.559 5.164
Ca Rb F
2 4 4
direct
0.000 0.000 0.000 Ca
0.500 0.500 0.000 Ca
0.168 0.668 0.500 Rb
0.668 0.832 0.500 Rb
0.832 0.332 0.500 Rb
0.332 0.168 0.500 Rb
0.247 0.747 0.000 F
0.747 0.753 0.000 F
0.753 0.253 0.000 F
0.253 0.247 0.000 F
```

spin magnetization = 0.00 μB per atom

---

Entry b
VASP calculation (PBE) on a geometry-optimized Rb2CaF2 structure.

POSCAR file:
```
Rb2CaF2
1.0
9.794 0.000 0.000
0.000 9.794 0.000
0.000 0.000 3.700
Ca Rb F
2 4 4
direct
0.000 0.000 0.000 Ca
0.500 0.500 0.000 Ca
0.386 0.886 0.000 Rb
0.886 0.614 0.000 Rb
0.614 0.114 0.000 Rb
0.114 0.386 0.000 Rb
0.107 0.607 0.500 F
0.607 0.893 0.500 F
0.893 0.393 0.500 F
0.393 0.107 0.500 F
```

spin magnetization = 0.00 μB per atom

---

Entry c
VASP calculation (PBE) on a geometry-optimized Rb2CaF2 structure.

POSCAR file:
```
Rb2CaF2
1.0
-0.298 -4.053 -2.960
4.950 -0.724 0.494
1.084 -6.737 4.846
Ca Rb F
1 2 2
direct
0.000 0.000 0.000 Ca
0.313 0.313 0.374 Rb
0.687 0.687 0.626 Rb
0.750 0.250 0.500 F
0.250 0.750 0.500 F
```

spin magnetization = 0.00 μB per atom

---

We find entry a to be the most stable, with the next structure 9.1 kJ/mol of atoms higher.

---

Entry a
VASP calculation (PBE) on a geometry-optimized RbCaTlSiTeF structure.

POSCAR file:
```
RbCaTlSiTeF
1.0
-0.736 -1.068 3.561
5.652 -0.646 2.999
0.120 7.520 4.278
F Ca Si Tl Rb Te
1 1 1 1 1 1
direct
0.627 0.098 0.875 F
0.176 0.139 0.734 Ca
0.904 0.005 0.413 Si
0.945 0.675 0.665 Tl
0.668 0.760 0.129 Rb
0.269 0.309 0.377 Te
```

spin magnetization = 0.00 μB per atom

---

Entry b
VASP calculation (PBE) on a geometry-optimized RbCaTlSiTeF structure.

POSCAR file:
```
RbCaTlSiTeF
1.0
-3.871 4.719 -2.256
-1.879 -2.520 -2.047
-9.061 -2.653 11.581
F Ca Si Tl Rb Te
2 2 2 2 2 2
direct
0.883 0.000 0.281 F
0.883 0.500 0.781 F
0.816 0.000 0.863 Ca
0.816 0.500 0.363 Ca
0.612 0.000 0.495 Si
0.612 0.500 0.995 Si
0.519 0.000 0.140 Tl
0.519 0.500 0.640 Tl
0.044 0.000 0.632 Rb
0.044 0.500 0.132 Rb
0.318 0.000 0.940 Te
0.318 0.500 0.440 Te
```

spin magnetization = 0.00 μB per atom

---

We find entry a to be the most stable, with the next structure 0.9 kJ/mol of atoms higher.

---

Entry a
VASP calculation (PBE) on a geometry-optimized RbCaTlSiTeF structure.

POSCAR file:
```
RbCaTlSiTeF
1.0
8.080 0.000 0.002
0.000 3.809 0.000
-3.869 0.000 12.541
F Ca Si Tl Rb Te
2 2 2 2 2 2
direct
0.818 0.000 0.906 F
0.818 0.500 0.406 F
0.676 0.000 0.400 Ca
0.676 0.500 0.900 Ca
0.448 0.000 0.540 Si
0.448 0.500 0.040 Si
0.746 0.000 0.144 Tl
0.746 0.500 0.644 Tl
0.129 0.000 0.847 Rb
0.129 0.500 0.347 Rb
0.376 0.000 0.174 Te
0.376 0.500 0.674 Te
```

spin magnetization = 0.00 μB per atom

---

Entry b
VASP calculation (PBE) on a geometry-optimized RbCaTlSiTeF structure.

POSCAR file:
```
RbCaTlSiTeF
1.0
-2.517 -2.720 0.771
4.398 -3.973 0.315
1.818 0.342 7.636
F Ca Si Tl Rb Te
1 1 1 1 1 1
direct
0.128 0.928 0.213 F
0.623 0.888 0.384 Ca
0.621 0.380 0.468 Si
0.130 0.434 0.173 Tl
0.616 0.008 0.888 Rb
0.113 0.542 0.681 Te
```

spin magnetization = 0.00 μB per atom

---

We find entry b to be the most stable, with the next structure 0.7 kJ/mol of atoms higher.

---

Entry a
VASP calculation (PBE) on a geometry-optimized RbCaTlSiTeF structure.

POSCAR file:
```
RbCaTlSiTeF
1.0
-7.218 -4.337 -1.475
1.805 -1.664 -3.939
8.521 -5.504 6.229
F Ca Si Tl Rb Te
2 2 2 2 2 2
direct
0.901 0.000 0.604 F
0.901 0.500 0.104 F
0.624 0.000 0.534 Ca
0.624 0.500 0.034 Ca
0.626 0.000 0.210 Si
0.626 0.500 0.710 Si
0.627 0.000 0.836 Tl
0.627 0.500 0.336 Tl
0.083 0.000 0.200 Rb
0.083 0.500 0.700 Rb
0.331 0.000 0.001 Te
0.331 0.500 0.501 Te
```

spin magnetization = 0.00 μB per atom

---

Entry b
VASP calculation (PBE) on a geometry-optimized RbCaTlSiTeF structure.

POSCAR file:
```
RbCaTlSiTeF
1.0
4.680 0.312 0.179
0.338 4.702 -0.006
1.267 0.339 8.834
F Ca Si Tl Rb Te
1 1 1 1 1 1
direct
0.780 0.741 0.801 F
0.694 0.730 0.045 Ca
0.297 0.414 0.297 Si
0.876 0.026 0.350 Tl
0.343 0.664 0.654 Rb
0.204 0.236 0.033 Te
```

spin magnetization = 0.00 μB per atom

---

We find entry b to be the most stable, with the next structure 5.4 kJ/mol of atoms higher.